The following is a DFT calculation (GGA-PBE) of a relaxed YCoB4 crystal. Values from VASP.

Computed properties:
For the polymorph energy (0 for the lowest one), the calculation gives 255 meV/atom. As for the magnetic moment: 0.005 μB/f.u.

```
&SYSTEM
  ibrav = 0, nat = 6, ntyp = 3
/
ATOMIC_SPECIES
Y 88.91 Y.upf
Co 58.93 Co.upf
B 10.81 B.upf
CELL_PARAMETERS angstrom
3.1658 0.0000 0.0000
-1.5829 2.7417 0.0000
0.0000 0.0000 6.4757
ATOMIC_POSITIONS angstrom
Y 0.0000 0.0000 0.0000
Co 0.0000 0.0000 3.2378
B 0.0000 1.8278 1.9491
B 0.0000 1.8278 4.5266
B 1.5829 0.9139 1.9491
B 1.5829 0.9139 4.5266
```